Below is crystalline MgNi2O4 at its relaxed geometry, with properties calculated at the GGA+U level.

Output
* DFT total energy: -69.57 eV for the cell shown
* volume: 150.78 Å³/cell
* total magnetization: 2.00 μB/f.u.
* symmetry: No. 12

a = 7.346 Å, b = 7.346 Å, c = 8.036 Å
α = 64.63°, β = 64.63°, γ = 22.74°
Element x y z (fractional)
O 0.078 0.078 0.384
O 0.922 0.922 0.616
O 0.424 0.424 0.310
Mg 0.657 0.657 0.843
O 0.881 0.881 0.963
O 0.245 0.245 0.648
Ni 0.576 0.576 0.226
O 0.755 0.755 0.352
O 0.119 0.119 0.037
Ni 0.424 0.424 0.774
Mg 0.343 0.343 0.157
O 0.576 0.576 0.690
Ni 0.155 0.155 0.522
Ni 0.845 0.845 0.478